# Cd3Ag, relaxed, DFT PBEsol
# energy relative to the elements: -2.19 kJ/mol of atoms
data_Cd3Ag
_chemical_formula_sum 'Cd3 Ag1'
_space_group_name_H-M_alt 'P m m m'
_space_group_IT_number 47
_space_group_name_Hall '-P 2 2'
_cell_length_a 3.144
_cell_length_b 4.157
_cell_length_c 5.898
_cell_angle_alpha 90.00
_cell_angle_beta 90.00
_cell_angle_gamma 90.00
loop_
_atom_site_label
_atom_site_fract_x
_atom_site_fract_y
_atom_site_fract_z
Cd1 0.000 0.000 0.000
Cd2 0.500 0.500 0.257
Ag1 0.000 0.000 0.500